Entry 1:
{
  "formula": "LaNd2Cd9",
  "functional": "PBE",
  "state": "relaxed",
  "lattice_angstrom": [[3.016, 1.741, 9.649], [-3.016, 1.741, 9.649], [0.000, -3.483, 9.649]],
  "species": ["La", "Nd", "Nd", "Cd", "Cd", "Cd", "Cd", "Cd", "Cd", "Cd", "Cd", "Cd"],
  "frac_coords": [[0.000, 0.000, 0.000], [0.141, 0.141, 0.141], [0.859, 0.859, 0.859], [0.077, 0.588, 0.588], [0.335, 0.335, 0.335], [0.412, 0.412, 0.923], [0.412, 0.923, 0.412], [0.500, 0.500, 0.500], [0.588, 0.077, 0.588], [0.588, 0.588, 0.077], [0.665, 0.665, 0.665], [0.923, 0.412, 0.412]],
  "delta_e_f_mev_per_atom": -270,
  "spacegroup": "R-3m, No. 166",
  "crystal_system": "trigonal"
}

=====

Entry 2:
{
  "formula": "LaNdCd5",
  "functional": "PBE",
  "state": "relaxed",
  "lattice_angstrom": [[5.341, 0.000, 0.000], [0.000, 5.341, 0.000], [0.000, 0.000, 6.955]],
  "species": ["La", "Nd", "Cd", "Cd", "Cd", "Cd", "Cd"],
  "frac_coords": [[0.000, 0.000, 0.000], [0.500, 0.500, 0.500], [0.000, 0.500, 0.268], [0.000, 0.500, 0.732], [0.500, 0.000, 0.268], [0.500, 0.000, 0.732], [0.500, 0.500, 0.000]],
  "delta_e_f_mev_per_atom": -151,
  "spacegroup": "P4/mmm, No. 123",
  "crystal_system": "tetragonal"
}

=====

Entry 3:
{
  "formula": "La2Nd5Cd",
  "functional": "PBE",
  "state": "relaxed",
  "lattice_angstrom": [[0.000, 5.100, 5.153], [5.100, 0.000, 5.153], [5.100, 5.100, 0.000]],
  "species": ["La", "La", "Nd", "Nd", "Nd", "Nd", "Nd", "Cd"],
  "frac_coords": [[0.000, 0.000, 0.500], [0.500, 0.500, 0.000], [0.000, 0.000, 0.000], [0.000, 0.500, 0.500], [0.500, 0.000, 0.000], [0.500, 0.999, 0.500], [0.999, 0.500, 0.001], [0.500, 0.500, 0.500]],
  "delta_e_f_mev_per_atom": -48,
  "spacegroup": "Fmm2, No. 42",
  "crystal_system": "orthorhombic"
}

=====

Entry 4:
{
  "formula": "LaNd4Cd4",
  "functional": "PBE",
  "state": "relaxed",
  "lattice_angstrom": [[9.628, 0.000, 0.000], [0.000, 9.628, 0.000], [0.000, 0.000, 5.868]],
  "species": ["La", "La", "Nd", "Nd", "Nd", "Nd", "Nd", "Nd", "Nd", "Nd", "Cd", "Cd", "Cd", "Cd", "Cd", "Cd", "Cd", "Cd"],
  "frac_coords": [[0.250, 0.250, 0.250], [0.750, 0.750, 0.750], [0.093, 0.826, 0.671], [0.174, 0.593, 0.171], [0.326, 0.907, 0.171], [0.407, 0.674, 0.671], [0.593, 0.326, 0.329], [0.674, 0.093, 0.829], [0.826, 0.407, 0.829], [0.907, 0.174, 0.329], [0.051, 0.148, 0.824], [0.148, 0.449, 0.676], [0.352, 0.051, 0.676], [0.449, 0.352, 0.824], [0.551, 0.648, 0.176], [0.648, 0.949, 0.324], [0.852, 0.551, 0.324], [0.949, 0.852, 0.176]],
  "delta_e_f_mev_per_atom": -137,
  "spacegroup": "P4_2/n, No. 86",
  "crystal_system": "tetragonal"
}

=====

Entry 5:
{
  "formula": "La15Nd4Cd",
  "functional": "PBE",
  "state": "relaxed",
  "lattice_angstrom": [[5.214, 0.000, 0.000], [0.000, 5.214, 0.000], [0.000, 0.000, 26.201]],
  "species": ["La", "La", "La", "La", "La", "La", "La", "La", "La", "La", "La", "La", "La", "La", "La", "Nd", "Nd", "Nd", "Nd", "Cd"],
  "frac_coords": [[0.000, 0.000, 0.000], [0.000, 0.000, 0.197], [0.000, 0.000, 0.399], [0.000, 0.000, 0.601], [0.000, 0.000, 0.803], [0.000, 0.500, 0.097], [0.000, 0.500, 0.297], [0.000, 0.500, 0.500], [0.000, 0.500, 0.703], [0.000, 0.500, 0.903], [0.500, 0.000, 0.097], [0.500, 0.000, 0.297], [0.500, 0.000, 0.500], [0.500, 0.000, 0.703], [0.500, 0.000, 0.903], [0.500, 0.500, 0.196], [0.500, 0.500, 0.399], [0.500, 0.500, 0.601], [0.500, 0.500, 0.804], [0.500, 0.500, 0.000]],
  "delta_e_f_mev_per_atom": -17,
  "spacegroup": "P4/mmm, No. 123",
  "crystal_system": "tetragonal"
}

=====

Entry 6:
{
  "formula": "LaNd3Cd4",
  "functional": "PBE",
  "state": "relaxed",
  "lattice_angstrom": [[5.464, 0.000, 0.000], [0.000, 5.464, 0.000], [0.000, 0.000, 7.805]],
  "species": ["La", "Nd", "Nd", "Nd", "Cd", "Cd", "Cd", "Cd"],
  "frac_coords": [[0.000, 0.000, 0.000], [0.000, 0.000, 0.500], [0.500, 0.500, 0.000], [0.500, 0.500, 0.500], [0.000, 0.500, 0.255], [0.000, 0.500, 0.745], [0.500, 0.000, 0.255], [0.500, 0.000, 0.745]],
  "delta_e_f_mev_per_atom": -320,
  "spacegroup": "P4/mmm, No. 123",
  "crystal_system": "tetragonal"
}